Here is a relaxed Sr2HfW crystal from OQMD via LeMat-Bulk. Energies are from GGA-PBE.

a b c (Å): 7.455 7.455 7.455
angles (deg): 90.00 90.00 90.00
Space group F-43m (No. 216)
Inequivalent atoms, fractional coordinates:
Sr1 0.000 0.000 0.000 (multiplicity 4)
Sr2 0.250 0.250 0.250 (multiplicity 4)
Hf1 0.250 0.250 0.750 (multiplicity 4)
W1 0.000 0.000 0.500 (multiplicity 4)

Values from the calculation:
**Final energy**: -0.4034 Ry/atom
**ρ**: 8.62 g/cm3

=====

Here is a relaxed SrYHf crystal from OQMD via LeMat-Bulk. Energies are from GGA-PBE.

a b c (Å): 7.608 7.608 7.608
angles (deg): 90.00 90.00 90.00
Space group F-43m (No. 216)
Inequivalent atoms, fractional coordinates:
Sr1 0.000 0.000 0.000 (multiplicity 4)
Y1 0.250 0.250 0.250 (multiplicity 4)
Hf1 0.250 0.250 0.750 (multiplicity 4)

Values from the calculation:
**Final energy**: -0.3404 Ry/atom
**ρ**: 5.35 g/cm3

=====

Here is a relaxed SrHfZn crystal from OQMD via LeMat-Bulk. Energies are from GGA-PBE.

a b c (Å): 6.883 6.883 6.883
angles (deg): 90.00 90.00 90.00
Space group F-43m (No. 216)
Inequivalent atoms, fractional coordinates:
Sr1 0.000 0.000 0.000 (multiplicity 4)
Hf1 0.250 0.250 0.250 (multiplicity 4)
Zn1 0.000 0.000 0.500 (multiplicity 4)

Values from the calculation:
**Final energy**: -0.2427 Ry/atom
**ρ**: 6.75 g/cm3
**Distance to the lowest polymorph of the same formula**: 1.0339 eV per atom

=====

Here is a relaxed SrHfZn crystal from OQMD via LeMat-Bulk. Energies are from GGA-PBE.

a b c (Å): 5.4972 5.4972 2.9790
angles (deg): 90.00 90.00 120.00
Space group P-6m2 (No. 187)
Inequivalent atoms, fractional coordinates:
Sr1 0.0000 0.0000 0.0000 (multiplicity 1)
Hf1 0.6667 0.3333 0.0000 (multiplicity 1)
Zn1 0.3333 0.6667 0.0000 (multiplicity 1)

Values from the calculation:
**Final energy**: -0.2570 Ry/atom
**ρ**: 7.06 g/cm3
**Distance to the lowest polymorph of the same formula**: 0.8401 eV per atom

=====

Here is a relaxed SrHfZn crystal from OQMD via LeMat-Bulk. Energies are from GGA-PBE.

a b c (Å): 3.562 3.562 12.493
angles (deg): 90.00 90.00 90.00
Space group P4/nmm (No. 129, origin choice 2)
Inequivalent atoms, fractional coordinates:
Sr1 0.250 0.250 0.140 (multiplicity 2)
Hf1 0.250 0.250 0.427 (multiplicity 2)
Zn1 0.250 0.250 0.681 (multiplicity 2)

Values from the calculation:
**Final energy**: -0.3187 Ry/atom
**ρ**: 6.94 g/cm3
**Distance to the lowest polymorph of the same formula**: 0.0000 eV per atom

=====

Here is a relaxed SrHfZn crystal from OQMD via LeMat-Bulk. Energies are from GGA-PBE.

a b c (Å): 7.115 7.115 7.115
angles (deg): 90.00 90.00 90.00
Space group F-43m (No. 216)
Inequivalent atoms, fractional coordinates:
Sr1 0.000 0.000 0.000 (multiplicity 4)
Hf1 0.250 0.250 0.750 (multiplicity 4)
Zn1 0.250 0.250 0.250 (multiplicity 4)

Values from the calculation:
**Final energy**: -0.2177 Ry/atom
**ρ**: 6.11 g/cm3
**Distance to the lowest polymorph of the same formula**: 1.3739 eV per atom

=====

Here is a relaxed SrHfZn crystal from OQMD via LeMat-Bulk. Energies are from GGA-PBE.

a b c (Å): 3.486 3.486 12.828
angles (deg): 90.00 90.00 90.00
Space group I4mm (No. 107)
Inequivalent atoms, fractional coordinates:
Sr1 0.000 0.000 0.000 (multiplicity 2)
Hf1 0.000 0.000 0.718 (multiplicity 2)
Zn1 0.000 0.000 0.319 (multiplicity 2)

Values from the calculation:
**Final energy**: -0.3039 Ry/atom
**ρ**: 7.06 g/cm3
**Distance to the lowest polymorph of the same formula**: 0.2012 eV per atom

=====

Here is a relaxed SrHfZn crystal from OQMD via LeMat-Bulk. Energies are from GGA-PBE.

a b c (Å): 3.484 3.484 12.828
angles (deg): 90.00 90.00 90.00
Space group P4/mmm (No. 123)
Inequivalent atoms, fractional coordinates:
Sr1 0.000 0.000 0.169 (multiplicity 2)
Hf1 0.500 0.500 0.384 (multiplicity 2)
Zn1 0.000 0.000 0.500 (multiplicity 1)
Zn2 0.500 0.500 0.000 (multiplicity 1)

Values from the calculation:
**Final energy**: -0.3023 Ry/atom
**ρ**: 7.07 g/cm3
**Distance to the lowest polymorph of the same formula**: 0.2226 eV per atom

=====

Here is a relaxed Sr2HfZn crystal from OQMD via LeMat-Bulk. Energies are from GGA-PBE.

a b c (Å): 7.760 7.760 7.760
angles (deg): 90.00 90.00 90.00
Space group F-43m (No. 216)
Inequivalent atoms, fractional coordinates:
Sr1 0.000 0.000 0.000 (multiplicity 4)
Sr2 0.250 0.250 0.250 (multiplicity 4)
Hf1 0.250 0.250 0.750 (multiplicity 4)
Zn1 0.000 0.000 0.500 (multiplicity 4)

Values from the calculation:
**Final energy**: -0.2250 Ry/atom
**ρ**: 5.96 g/cm3

=====

Here is a relaxed SrHf2Zn crystal from OQMD via LeMat-Bulk. Energies are from GGA-PBE.

a b c (Å): 7.278 7.278 7.278
angles (deg): 90.00 90.00 90.00
Space group F-43m (No. 216)
Inequivalent atoms, fractional coordinates:
Sr1 0.000 0.000 0.000 (multiplicity 4)
Hf1 0.000 0.000 0.500 (multiplicity 4)
Hf2 0.250 0.250 0.750 (multiplicity 4)
Zn1 0.250 0.250 0.250 (multiplicity 4)

Values from the calculation:
**Final energy**: -0.3827 Ry/atom
**ρ**: 8.79 g/cm3

=====

Here is a relaxed Sr2HfZr crystal from OQMD via LeMat-Bulk. Energies are from GGA-PBE.

a b c (Å): 7.949 7.949 7.949
angles (deg): 90.00 90.00 90.00
Space group F-43m (No. 216)
Inequivalent atoms, fractional coordinates:
Sr1 0.000 0.000 0.000 (multiplicity 4)
Sr2 0.250 0.250 0.250 (multiplicity 4)
Hf1 0.250 0.250 0.750 (multiplicity 4)
Zr1 0.000 0.000 0.500 (multiplicity 4)

Values from the calculation:
**Final energy**: -0.3504 Ry/atom
**ρ**: 5.88 g/cm3

=====

Here is a relaxed SrHfZr2 crystal from OQMD via LeMat-Bulk. Energies are from GGA-PBE.

a b c (Å): 7.452 7.452 7.452
angles (deg): 90.00 90.00 90.00
Space group F-43m (No. 216)
Inequivalent atoms, fractional coordinates:
Sr1 0.000 0.000 0.000 (multiplicity 4)
Hf1 0.250 0.250 0.250 (multiplicity 4)
Zr1 0.000 0.000 0.500 (multiplicity 4)
Zr2 0.250 0.250 0.750 (multiplicity 4)

Values from the calculation:
**Final energy**: -0.4817 Ry/atom
**ρ**: 7.20 g/cm3